# MnHgAsF6

A relaxed MnHgAsF6 crystal (PBE+U, the Alexandria database).

Output
Total magnetic moment   3.973 μB/f.u.
Total DFT energy (no corrections)   -4.5700 eV per atom
SG   P1

Cell and atoms, written as extended XYZ:
```
9
Lattice="5.980 0.211 -0.112 3.171 4.947 0.065 -0.116 0.143 5.726" Properties=species:S:1:pos:R:3 pbc="T T T"
F 1.343 1.855 1.805
F 7.780 3.273 3.897
F 3.527 0.242 1.740
F 5.019 2.014 3.995
F 4.294 3.382 1.630
F 2.235 0.368 3.905
As 2.929 1.779 2.855
Mn 5.944 3.432 2.832
Hg 8.929 5.212 5.670
```